DFT (GGA+U) results for a relaxed structure of YVO4F.

The value obtained for the total magnetization is 0.000 μB/atom. For the energy, the calculation gives -7.55 eV/atom.

The space group is C2/m (No. 12) and the conventional cell measures 9.446, 7.193 and 6.554 Å, with angles of 90.00, 100.29 and 90.00 degrees. The distinct sites, in fractional coordinates, are Y at (0.195, 0.000, 0.082), V at (0.127, 0.500, 0.288), O at (0.061, 0.500, 0.757), O at (0.190, 0.316, 0.159), O at (0.194, 0.500, 0.554) and F at (0.015, 0.000, 0.809).